This record from Alexandria describes an optimized crystal structure of NdY2In2. The functional is GGA-PBE.

Computed properties:
E_form: -0.35 eV/atom
ΔE to the lowest computed polymorph: 85 meV/atom
density of states at the Fermi level: 0.961 states/eV per atom
M_tot: 0.000 μB/f.u.

Structure (CIF):
```
data_NdY2In2
_chemical_formula_sum 'Nd4 Y8 In8'
_cell_length_a 5.3899
_cell_length_b 16.3196
_cell_length_c 6.5953
_cell_angle_alpha 90.00
_cell_angle_beta 90.00
_cell_angle_gamma 90.00
_space_group_name_H-M_alt 'C m c 21'
_space_group_IT_number 36
loop_
_space_group_symop_operation_xyz
'x,y,z'
'-x,-y,z+1/2'
'-x,y,z'
'x,-y,z+1/2'
'x+1/2,y+1/2,z'
'-x+1/2,-y+1/2,z+1/2'
'-x+1/2,y+1/2,z'
'x+1/2,-y+1/2,z+1/2'
loop_
_atom_site_label
_atom_site_fract_x
_atom_site_fract_y
_atom_site_fract_z
Nd1 0.0000 0.0960 0.0000
Y1 0.0000 0.3004 0.2267
Y2 0.0000 0.4725 0.8232
In1 0.0000 0.1071 0.5114
In2 0.0000 0.2887 0.7161
```